No. 1
Below is a relaxed Sr3As2F crystal, with properties calculated at the GGA-PBE level.

Formation energy from raw total energies   -1634.1 meV/atom
Mass density   4.09 Mg/m³
Total moment   0.00 μB/atom

Lattice parameters (Å, degrees): 6.3171 8.2167 7.7325 105.38 114.11 90.00
With the nearest neighbours (Å) after each atom.
Element x y z (fractional)
As1 0.3319 0.4168 0.6665  6 Sr 3.07-3.16
As2 0.6654 0.0832 0.3335  6 Sr 3.07-3.16
Sr1 0.1613 0.5804 0.3199  2 F 3.00, 4 As 3.11-3.16
Sr2 0.4442 0.2500 0.0000  1 F 2.49
Sr3 0.8413 0.9196 0.6801  2 F 3.00, 4 As 3.11-3.16
F1 0.0500 0.2500 0.0000  1 Sr 2.49
Sr4 0.8387 0.4196 0.6801  2 F 3.00, 4 As 3.11-3.16
F2 0.9500 0.7500 0.0000  1 Sr 2.49
As3 0.3346 0.9168 0.6665  6 Sr 3.07-3.16
Sr5 0.5558 0.7500 0.0000  1 F 2.49
As4 0.6681 0.5832 0.3335  6 Sr 3.07-3.16
Sr6 0.1587 0.0804 0.3199  2 F 3.00, 4 As 3.11-3.16

=====

No. 2
Below is a relaxed ThMgSe2 crystal, with properties calculated at the GGA-PBE level.

Formation energy from raw total energies   -1317.0 meV/atom
Mass density   7.31 Mg/m³
Total moment   0.00 μB/atom

Lattice parameters (Å, degrees): 3.8148 3.8148 7.7883 75.82 75.82 60.00
With the nearest neighbours (Å) after each atom.
Element x y z (fractional)
Th1 0.5000 0.5000 0.5000  6 Se 3.06
Se1 0.2616 0.2616 0.2153  3 Mg 2.73
Se2 0.7384 0.7384 0.7847  3 Mg 2.73
Mg1 0.0000 0.0000 0.0000  6 Se 2.73

=====

No. 3
Below is a relaxed Nd2TaO6 crystal, with properties calculated at the GGA-PBE level.

Formation energy from raw total energies   -2901.8 meV/atom
Mass density   6.65 Mg/m³
Total moment   0.12 μB/atom

Lattice parameters (Å, degrees): 5.1964 5.1964 10.4638 90.00 90.00 90.00
With the nearest neighbours (Å) after each atom.
Element x y z (fractional)
Nd1 0.5000 0.5000 0.1686  6 O 2.35-2.42
Nd2 0.0000 0.0000 0.3314  6 O 2.35-2.42
Ta1 0.0000 0.0000 0.0000  6 O 2.01-2.02
O1 0.2254 0.7746 0.5000  1 Ta 2.02
O2 0.1823 0.8177 0.8570  1 Ta 2.01
O3 0.7254 0.7254 0.0000  1 Ta 2.02
Nd3 0.0000 0.0000 0.6686  6 O 2.35-2.42
O4 0.6823 0.6823 0.6430  1 Ta 2.01
O5 0.6823 0.6823 0.3570  1 Ta 2.01
Nd4 0.5000 0.5000 0.8314  6 O 2.35-2.42
O6 0.3177 0.3177 0.3570  1 Ta 2.01
O7 0.8177 0.1823 0.1430  1 Ta 2.01
Ta2 0.5000 0.5000 0.5000  6 O 2.01-2.02
O8 0.8177 0.1823 0.8570  1 Ta 2.01
O9 0.3177 0.3177 0.6430  1 Ta 2.01
O10 0.2746 0.2746 0.0000  1 Ta 2.02
O11 0.1823 0.8177 0.1430  1 Ta 2.01
O12 0.7746 0.2254 0.5000  1 Ta 2.02

=====

No. 4
Below is a relaxed CuIr2Cl crystal, with properties calculated at the GGA-PBE level.

Formation energy from raw total energies   579.7 meV/atom
Mass density   13.90 Mg/m³
Total moment   0.00 μB/atom

Lattice parameters (Å, degrees): 8.4206 8.4206 8.4206 19.43 19.43 19.43
With the nearest neighbours (Å) after each atom.
Element x y z (fractional)
Cu1 0.7500 0.7500 0.7500  6 Ir 2.60, 6 Cu 2.84
Ir1 0.4982 0.4982 0.4982  3 Cu 2.60, 3 Cl 2.67, 6 Ir 2.84
Ir2 0.0018 0.0018 0.0018  3 Cu 2.60, 3 Cl 2.67, 6 Ir 2.84
Cl1 0.2500 0.2500 0.2500  6 Ir 2.67, 6 Cl 2.84

=====

No. 5
Below is a relaxed Pm2HoCd3 crystal, with properties calculated at the GGA-PBE level.

Formation enthalpy at 0 K   -0.315 eV/atom
Mass density   8.00 Mg/m³
Total moment   0.19 μB/atom

Lattice parameters (Å, degrees): 5.3680 5.3680 13.1792 90.00 90.00 120.00
With the nearest neighbours (Å) after each atom.
Element x y z (fractional)
Ho1 0.6667 0.3333 0.3333  8 Cd 3.26-3.30
Pm1 0.0000 0.0000 0.0000  8 Cd 3.30-3.34
Cd1 0.6667 0.3333 0.5818  4 Pm 3.28, 4 Ho 3.28-3.30
Cd2 0.3333 0.6667 0.9141  1 Ho 3.26, 7 Pm 3.29-3.37
Pm2 0.6667 0.3333 0.8303  8 Cd 3.28-3.37
Pm3 0.3333 0.6667 0.1697  8 Cd 3.28-3.37
Cd3 0.0000 0.0000 0.2534  5 Pm 3.25-3.34, 3 Ho 3.27
Pm4 0.0000 0.0000 0.5000  8 Cd 3.25-3.28
Cd4 0.0000 0.0000 0.7466  5 Pm 3.25-3.34, 3 Ho 3.27
Ho2 0.3333 0.6667 0.6667  8 Cd 3.26-3.30
Cd5 0.6667 0.3333 0.0859  1 Ho 3.26, 7 Pm 3.29-3.37
Cd6 0.3333 0.6667 0.4182  4 Pm 3.28, 4 Ho 3.28-3.30

=====

No. 6
Below is a relaxed NaSnPbCl6 crystal, with properties calculated at the GGA-PBE level.

Formation energy from raw total energies   -1157.8 meV/atom
Mass density   3.39 Mg/m³
Total moment   0.00 μB/atom

Lattice parameters (Å, degrees): 6.5777 6.5777 12.6991 90.00 90.00 90.00
With the nearest neighbours (Å) after each atom.
Element x y z (fractional)
Cl1 0.8100 0.1900 0.5102  1 Sn 2.66, 1 Na 2.86, 1 Pb 2.89
Cl2 0.2133 0.7867 0.1685  1 Sn 2.67, 1 Na 2.89, 1 Pb 2.90
Cl3 0.3100 0.3100 0.0102  1 Sn 2.66, 1 Na 2.86, 1 Pb 2.89
Cl4 0.8071 0.1929 0.8203  1 Sn 2.65, 1 Na 2.86, 1 Pb 2.92
Sn1 0.0000 0.0000 0.6666  6 Cl 2.65-2.67
Cl5 0.7133 0.7133 0.6685  1 Sn 2.67, 1 Na 2.89, 1 Pb 2.90
Na1 0.5000 0.5000 0.8334  6 Cl 2.86-2.89
Cl6 0.2867 0.2867 0.6685  1 Sn 2.67, 1 Na 2.89, 1 Pb 2.90
Pb1 0.5000 0.5000 0.5020  6 Cl 2.89-2.92
Pb2 0.0000 0.0000 0.0020  6 Cl 2.89-2.92
Cl7 0.7867 0.2133 0.1685  1 Sn 2.67, 1 Na 2.89, 1 Pb 2.90
Cl8 0.6900 0.6900 0.0102  1 Sn 2.66, 1 Na 2.86, 1 Pb 2.89
Cl9 0.1900 0.8100 0.5102  1 Sn 2.66, 1 Na 2.86, 1 Pb 2.89
Sn2 0.5000 0.5000 0.1666  6 Cl 2.65-2.67
Na2 0.0000 0.0000 0.3334  6 Cl 2.86-2.89
Cl10 0.3071 0.3071 0.3203  1 Sn 2.65, 1 Na 2.86, 1 Pb 2.92
Cl11 0.6929 0.6929 0.3203  1 Sn 2.65, 1 Na 2.86, 1 Pb 2.92
Cl12 0.1929 0.8071 0.8203  1 Sn 2.65, 1 Na 2.86, 1 Pb 2.92

=====

No. 7
Below is a relaxed Be2PSe crystal, with properties calculated at the GGA-PBE level.

Formation energy from raw total energies   556.2 meV/atom
Mass density   4.00 Mg/m³
Total moment   0.00 μB/atom

Lattice parameters (Å, degrees): 4.1499 4.1499 3.1416 90.00 90.00 78.91
With the nearest neighbours (Å) after each atom.
Element x y z (fractional)
Be1 0.0000 0.0000 0.0000  4 P 2.60, 4 Se 2.60, 2 Be 2.64
Se1 0.0000 0.5000 0.5000  8 Be 2.60, 2 P 2.64
P1 0.5000 0.0000 0.5000  8 Be 2.60, 2 Se 2.64
Be2 0.5000 0.5000 0.0000  4 Se 2.60, 4 P 2.60, 2 Be 2.64

=====

No. 8
Below is a relaxed Tb5Pm2Ni4 crystal, with properties calculated at the GGA-PBE level.

Formation enthalpy at 0 K   -0.055 eV/atom
Mass density   7.70 Mg/m³
Total moment   0.00 μB/atom

Lattice parameters (Å, degrees): 3.5511 6.6501 12.2100 86.02 98.36 90.00
With the nearest neighbours (Å) after each atom.
Element x y z (fractional)
Ni1 0.9760 0.3153 0.9521  2 Pm 2.73-2.79, 3 Tb 2.78-2.81, 1 Ni 2.79
Tb1 0.5000 0.0000 0.0000  4 Ni 2.78
Pm1 0.9092 0.6637 0.8184  4 Ni 2.73-2.93
Ni2 0.6711 0.5112 0.3421  5 Tb 2.78-2.80, 2 Pm 2.93
Ni3 0.0240 0.6847 0.0479  2 Pm 2.73-2.79, 3 Tb 2.78-2.81, 1 Ni 2.79
Tb2 0.2344 0.2674 0.4687  3 Ni 2.79-2.80
Tb3 0.8675 0.1900 0.7350  3 Ni 2.78-2.81
Tb4 0.7656 0.7326 0.5313  3 Ni 2.79-2.80
Pm2 0.0908 0.3363 0.1816  4 Ni 2.73-2.93
Tb5 0.1325 0.8100 0.2650  3 Ni 2.78-2.81
Ni4 0.3289 0.4888 0.6579  5 Tb 2.78-2.80, 2 Pm 2.93

=====

No. 9
Below is a relaxed Ac6GeTe2S3 crystal, with properties calculated at the GGA-PBE level.

Formation energy from raw total energies   -1647.0 meV/atom
Mass density   7.61 Mg/m³
Total moment   0.00 μB/atom

Lattice parameters (Å, degrees): 7.8284 7.8284 7.7911 99.65 99.65 119.92
With the nearest neighbours (Å) after each atom.
Element x y z (fractional)
Ac1 0.2245 0.2245 0.7307  3 S 3.09-3.24, 1 Ge 3.16, 2 Te 3.34
Ge1 0.0000 0.0000 0.0000  6 Ac 3.16-3.17
Te1 0.6668 0.3332 0.0000  6 Ac 3.34-3.35
Ac2 0.4052 0.0901 0.2716  3 S 3.05-3.19, 1 Ge 3.17, 2 Te 3.34-3.35
Ac3 0.5948 0.9098 0.7284  3 S 3.05-3.19, 1 Ge 3.17, 2 Te 3.34-3.35
S1 0.1705 0.8295 0.5000  6 Ac 3.05-3.19
Ac4 0.0901 0.4052 0.2716  3 S 3.05-3.19, 1 Ge 3.17, 2 Te 3.34-3.35
S2 0.5000 0.5000 0.5000  6 Ac 3.05-3.24
Ac5 0.9098 0.5948 0.7284  3 S 3.05-3.19, 1 Ge 3.17, 2 Te 3.34-3.35
S3 0.8295 0.1705 0.5000  6 Ac 3.05-3.19
Te2 0.3332 0.6668 0.0000  6 Ac 3.34-3.35
Ac6 0.7755 0.7755 0.2693  3 S 3.09-3.24, 1 Ge 3.16, 2 Te 3.34

=====

No. 10
Below is a relaxed BaAgCl2 crystal, with properties calculated at the GGA-PBE level.

Formation energy from raw total energies   -1292.0 meV/atom
Mass density   2.97 Mg/m³
Total moment   0.00 μB/atom

Lattice parameters (Å, degrees): 9.6373 9.6373 9.6373 28.19 28.19 28.19
With the nearest neighbours (Å) after each atom.
Element x y z (fractional)
Cl1 0.1140 0.1140 0.1140  3 Ba 3.08, 1 Ag 3.16
Ba1 0.5000 0.5000 0.5000  6 Cl 3.08
Cl2 0.8860 0.8860 0.8860  3 Ba 3.08, 1 Ag 3.16
Ag1 0.0000 0.0000 0.0000  2 Cl 3.16

=====

No. 11
Below is a relaxed Ho4Tm2Te9 crystal, with properties calculated at the GGA-PBE level.

Formation energy from raw total energies   -1345.3 meV/atom
Mass density   6.74 Mg/m³
Total moment   0.00 μB/atom

Lattice parameters (Å, degrees): 7.6387 7.6387 20.9360 90.00 90.00 60.00
With the nearest neighbours (Å) after each atom.
Element x y z (fractional)
Tm1 0.0002 0.0000 0.8422  6 Te 3.03-3.07
Ho1 0.6664 0.6666 0.3240  6 Te 3.05-3.09
Ho2 0.6666 0.6667 0.0092  6 Te 3.05-3.10
Te1 0.9813 0.3501 0.4165  1 Tm 3.03, 3 Ho 3.05-3.10
Ho3 0.3334 0.3333 0.9908  6 Te 3.05-3.10
Te2 0.0187 0.3312 0.0835  1 Tm 3.03, 3 Ho 3.05-3.10
Te3 0.6683 0.9814 0.4164  1 Tm 3.03, 3 Ho 3.05-3.10
Te4 0.6686 0.3501 0.9165  1 Tm 3.03, 3 Ho 3.05-3.10
Te5 0.3124 0.0000 0.2500  2 Ho 3.05, 2 Tm 3.07
Te6 0.6876 0.0000 0.7500  2 Ho 3.05, 2 Tm 3.07
Te7 0.3317 0.0186 0.5836  1 Tm 3.03, 3 Ho 3.05-3.10
Ho4 0.3333 0.3333 0.4908  6 Te 3.05-3.10
Te8 0.6497 0.0187 0.0836  1 Tm 3.03, 3 Ho 3.05-3.10
Ho5 0.3336 0.3334 0.6760  6 Te 3.05-3.09
Ho6 0.3330 0.3334 0.1760  6 Te 3.05-3.09
Te9 0.3503 0.9813 0.9164  1 Tm 3.03, 3 Ho 3.05-3.10
Tm2 0.0002 0.0000 0.6578  6 Te 3.03-3.07
Te10 0.0187 0.6499 0.5835  1 Tm 3.03, 3 Ho 3.05-3.10
Te11 0.9813 0.6688 0.9165  1 Tm 3.03, 3 Ho 3.05-3.10
Te12 0.9997 0.6874 0.2500  2 Ho 3.05, 2 Tm 3.07
Tm3 0.9998 0.0000 0.3422  6 Te 3.03-3.07
Te13 0.3314 0.6499 0.0835  1 Tm 3.03, 3 Ho 3.05-3.10
Tm4 0.9998 0.0000 0.1578  6 Te 3.03-3.07
Te14 0.3499 0.6687 0.4165  1 Tm 3.03, 3 Ho 3.05-3.10
Ho7 0.6670 0.6666 0.8240  6 Te 3.05-3.09
Te15 0.6872 0.3126 0.2500  2 Ho 3.05, 2 Tm 3.07
Te16 0.6501 0.3313 0.5835  1 Tm 3.03, 3 Ho 3.05-3.10
Te17 0.0003 0.3126 0.7500  2 Ho 3.05, 2 Tm 3.07
Ho8 0.6667 0.6667 0.5092  6 Te 3.05-3.10
Te18 0.3128 0.6874 0.7500  2 Ho 3.05, 2 Tm 3.07

=====

No. 12
Below is a relaxed BaNa2La2 crystal, with properties calculated at the GGA-PBE level.

Formation enthalpy at 0 K   0.326 eV/atom
Mass density   3.74 Mg/m³
Total moment   0.00 μB/atom

Lattice parameters (Å, degrees): 10.3493 10.3493 3.8205 90.00 90.00 90.00
With the nearest neighbours (Å) after each atom.
Element x y z (fractional)
Ba1 0.5000 0.5000 0.0000  2 Ba 3.82, 4 Na 4.19, 8 La 4.23
Na1 0.1102 0.3898 0.0000  1 Na 3.23, 2 La 3.52
Na2 0.3898 0.8898 0.0000  1 Na 3.23, 2 La 3.52
La1 0.8120 0.3120 0.5000  6 Na 3.52-3.72, 2 La 3.82
La2 0.6880 0.8120 0.5000  6 Na 3.52-3.72, 2 La 3.82
La3 0.1880 0.6880 0.5000  6 Na 3.52-3.72, 2 La 3.82
Ba2 0.0000 0.0000 0.0000  2 Ba 3.82, 4 Na 4.19, 8 La 4.23
Na3 0.6102 0.1102 0.0000  1 Na 3.23, 2 La 3.52
La4 0.3120 0.1880 0.5000  6 Na 3.52-3.72, 2 La 3.82
Na4 0.8898 0.6102 0.0000  1 Na 3.23, 2 La 3.52